Record 1
This record from the Alexandria database describes a relaxed structure of TbNd3In2. The functional is PBE-GGA.

Values from the calculation:
mass density = 7.4 g/cm3
energy above the lowest structure with this stoichiometry = 0.000 eV/atom
VASP energy = -53.02 eV per cell
energy of formation from the pure elements = -0.350 eV per atom

Unit cell a=5.3308 b=10.0994 c=6.8551 alpha=90.00 beta=90.00 gamma=90.00
With the nearest neighbours (Å) after each atom.
Space group Pmc2_1 (No. 26)
Unique sites:
1 Tb 0.0000 0.0390 0.0000 x2  5 In 3.31-3.70, 2 Tb 3.52, 3 Nd 3.54-3.65
2 Nd 0.0000 0.3194 0.6632 x2  5 In 3.27-3.57, 2 Nd 3.57, 1 Tb 3.65
3 Nd 0.5000 0.1739 0.2757 x2  5 In 3.21-3.55, 2 Tb 3.54
4 Nd 0.5000 0.4632 0.9362 x2  5 In 3.34-3.69, 5 Nd 3.51-3.74
5 In 0.0000 0.3534 0.1812 x2  7 Nd 3.29-3.57, 1 Tb 3.41
6 In 0.5000 0.1436 0.7598 x2  6 Nd 3.21-3.55, 2 Tb 3.31



Record 2
This record from the Alexandria database describes a relaxed structure of ZnSnSbI2. The functional is PBE-GGA.

Values from the calculation:
mass density = 4.2 g/cm3
energy above the lowest structure with this stoichiometry = 0.094 eV/atom
VASP energy = -10.84 eV per cell

Unit cell a=6.0857 b=6.0857 c=5.9840 alpha=90.00 beta=90.00 gamma=90.00
With the nearest neighbours (Å) after each atom.
Space group P4/mmm (No. 123)
Unique sites:
1 Zn 0.0000 0.0000 0.0000 x1  8 I 4.27, 4 Sb 4.30
2 Sn 0.5000 0.5000 0.5000 x1  2 Sb 2.99, 4 I 3.04
3 Sb 0.5000 0.5000 0.0000 x1  2 Sn 2.99
4 I 0.0000 0.5000 0.5000 x2  2 Sn 3.04



Record 3
This record from the Alexandria database describes a relaxed structure of ZnFe2Pt. The functional is PBE-GGA.

Values from the calculation:
mass density = 11.5 g/cm3
VASP energy = -24.80 eV per cell
energy of formation from the pure elements = -0.140 eV per atom

Unit cell a=2.6752 b=3.8109 c=5.2570 alpha=90.00 beta=90.27 gamma=90.00
With the nearest neighbours (Å) after each atom.
Space group P2/m (No. 10)
Unique sites:
1 Zn 0.0000 0.0000 0.0000 x1  2 Pt 2.63, 8 Fe 2.65-2.66, 2 Zn 2.68
2 Fe 0.4992 0.5000 0.2423 x2  4 Fe 2.55-2.71, 4 Zn 2.65-2.66, 4 Pt 2.69-2.70
3 Pt 0.0000 0.0000 0.5000 x1  2 Zn 2.63, 2 Pt 2.68, 8 Fe 2.69-2.70



Record 4
This record from the Alexandria database describes a relaxed structure of Cs2DyCuBr6. The functional is PBE-GGA.

Values from the calculation:
mass density = 4.5 g/cm3
VASP energy = -142.55 eV per cell

Unit cell a=10.3795 b=11.7607 c=11.7767 alpha=90.00 beta=90.00 gamma=90.00
With the nearest neighbours (Å) after each atom.
Space group Fmmm (No. 69)
Unique sites:
1 Cs 0.2500 0.2500 0.2500 x8  12 Br 3.92-4.17
2 Dy 0.0000 0.0000 0.0000 x4  6 Br 2.79-2.83
3 Cu 0.0000 0.0000 0.5000 x4  2 Br 2.36
4 Br 0.0000 0.0000 0.2370 x8  1 Dy 2.79, 1 Cu 3.10
5 Br 0.0000 0.2373 0.0000 x8  1 Dy 2.79, 1 Cu 3.09
6 Br 0.2273 0.0000 0.5000 x8  1 Cu 2.36



Record 5
This record from the Alexandria database describes a relaxed structure of Zr4ReSi. The functional is PBE-GGA.

Values from the calculation:
mass density = 8.0 g/cm3
VASP energy = -193.66 eV per cell

Unit cell a=7.8285 b=7.8285 c=7.8285 alpha=90.00 beta=90.00 gamma=90.00
With the nearest neighbours (Å) after each atom.
Space group F-43m (No. 216)
Unique sites:
1 Zr 0.1239 0.1239 0.1239 x16  6 Zr 2.74-2.79
2 Re 0.2500 0.2500 0.7500 x4  12 Zr 3.24, 4 Si 3.39
3 Si 0.0000 0.0000 0.5000 x4  12 Zr 3.25, 4 Re 3.39



Record 6
This record from the Alexandria database describes a relaxed structure of La8PmPr6. The functional is PBE-GGA.

Values from the calculation:
mass density = 6.4 g/cm3
energy above the lowest structure with this stoichiometry = 0.000 eV/atom
VASP energy = -217.88 eV per cell
energy of formation from the pure elements = 0.015 eV per atom

Unit cell a=6.4684 b=6.4684 c=45.4858 alpha=90.00 beta=90.00 gamma=120.00
With the nearest neighbours (Å) after each atom.
Space group R-3 (No. 148, hexagonal axes)
Unique sites:
1 La 0.0000 0.0000 0.1667 x6  6 Pr 3.70, 3 Pm 3.73, 3 La 3.73
2 La 0.9998 0.3331 0.2997 x18  3 Pr 3.73, 9 La 3.73-3.74
3 Pm 0.0000 0.0000 0.5000 x3  6 Pr 3.70, 6 La 3.73
4 Pr 0.0000 0.3327 0.4340 x18  1 Pm 3.70, 5 La 3.70-3.74, 6 Pr 3.73-3.74



Record 7
This record from the Alexandria database describes a relaxed structure of BC2. The functional is PBE-GGA.

Values from the calculation:
mass density = 3.0 g/cm3
energy above the lowest structure with this stoichiometry = 0.089 eV/atom
VASP energy = -96.56 eV per cell
energy of formation from the pure elements = 0.329 eV per atom

Unit cell a=4.7010 b=2.5188 c=6.5047 alpha=90.00 beta=96.27 gamma=90.00
With the nearest neighbours (Å) after each atom.
Space group Pm (No. 6)
Unique sites:
1 B 0.0000 0.0000 0.0000 x1  1 C 1.50
2 B 0.0051 0.0000 0.2998 x1  3 C 1.64-1.66
3 B 0.2244 0.5000 0.9326 x1  2 C 1.57-1.60, 2 B 1.73
4 B 0.7094 0.0000 0.7109 x1  3 C 1.67-1.68
5 C 0.2146 0.5000 0.6866 x1  3 C 1.55, 1 B 1.60
6 C 0.3546 0.0000 0.3688 x1  3 C 1.55-1.59, 1 B 1.66
7 C 0.3661 0.0000 0.6145 x1  3 C 1.55-1.59, 1 B 1.67
8 C 0.5098 0.5000 0.2995 x1  4 C 1.55-1.57
9 C 0.5287 0.5000 0.0603 x1  3 C 1.51-1.57, 1 B 1.57
10 C 0.6829 0.0000 0.0090 x1  1 B 1.50, 2 C 1.51
11 C 0.8296 0.5000 0.3874 x1  2 C 1.47-1.55, 2 B 1.64
12 C 0.8903 0.5000 0.6145 x1  2 C 1.47-1.55



Record 8
This record from the Alexandria database describes a relaxed structure of NpInBi. The functional is PBE-GGA.

Values from the calculation:
mass density = 11.2 g/cm3
energy above the lowest structure with this stoichiometry = 0.019 eV/atom
VASP energy = -37.99 eV per cell
energy of formation from the pure elements = 0.188 eV per atom

Unit cell a=3.8402 b=3.8402 c=11.2904 alpha=90.00 beta=90.00 gamma=90.00
With the nearest neighbours (Å) after each atom.
Space group I4mm (No. 107)
Unique sites:
1 Np 0.0000 0.0000 0.0000 x2  5 In 3.36-3.67, 5 Bi 3.38-3.64
2 In 0.0000 0.0000 0.3248 x2  4 Bi 3.18, 4 Np 3.36
3 Bi 0.0000 0.0000 0.6777 x2  4 In 3.18, 4 Np 3.38